[1]
The following is a PBE calculation of a geometry-optimized SrLiTe2I structure, from the Alexandria database.

**Symmetry**: P4/mmm, No. 123
**Energy relative to the elements, uncorrected**: -409 meV per atom

Cell lengths 6.2817, 6.2817, 6.4162 Å; angles 90.00, 90.00, 90.00 degrees
Each line ends with the local moment (μB).
Fractional coordinates of all 5 atoms:
I 0.0000 0.0000 0.5000  0.09
Sr 0.0000 0.0000 0.0000  0.00
Te 0.0000 0.5000 0.0000  0.33
Te 0.5000 0.0000 0.0000  0.33
Li 0.5000 0.5000 0.5000  0.00



[2]
The following is a PBE calculation of a geometry-optimized LiBC structure, from the Alexandria database.

**Symmetry**: Imm2, No. 44
**Total energy**: -0.4386 Ry per atom

Cell lengths 3.9330, 2.8133, 3.9584 Å; angles 69.19, 60.21, 90.00 degrees
Fractional coordinates of all 3 atoms:
C 0.1813 0.6813 0.6374
B 0.1565 0.1565 0.6870
Li 0.5157 0.5157 0.9686



[3]
The following is a PBE calculation of a geometry-optimized NdSm3Dy2Y6 structure, from the Alexandria database.

**Symmetry**: C2/m, No. 12
**Total energy**: -0.4087 Ry per atom

Cell lengths 6.2198, 6.2198, 11.8625 Å; angles 94.99, 94.99, 119.97 degrees
Fractional coordinates of all 12 atoms:
Nd 0.0000 0.0000 0.0000
Sm 0.1668 0.8332 0.5000
Sm 0.8332 0.1668 0.5000
Sm 0.5000 0.5000 0.5000
Dy 0.3333 0.6667 0.0000
Dy 0.6667 0.3333 0.0000
Y 0.9167 0.5828 0.7508
Y 0.7493 0.7493 0.2492
Y 0.0833 0.4172 0.2492
Y 0.5828 0.9167 0.7508
Y 0.2507 0.2507 0.7508
Y 0.4172 0.0833 0.2492



[4]
The following is a PBE calculation of a geometry-optimized K3AgBi structure, from the Alexandria database.

**Symmetry**: Pm-3m, No. 221
**Total energy**: -0.1419 Ry per atom

Cell lengths 6.2411, 6.2411, 6.2411 Å; angles 90.00, 90.00, 90.00 degrees
Each line ends with the local moment (μB).
Fractional coordinates of all 5 atoms:
K 0.0000 0.5000 0.0000  0.00
K 0.0000 0.0000 0.5000  0.00
K 0.5000 0.0000 0.0000  0.00
Bi 0.5000 0.5000 0.5000  0.56
Ag 0.0000 0.0000 0.0000  0.00



[5]
The following is a PBE calculation of a geometry-optimized AlCo4Re structure, from the Alexandria database.

**Symmetry**: F-43m, No. 216
**Total energy**: -0.5446 Ry per atom

Cell lengths 4.6302, 4.6302, 4.6302 Å; angles 60.00, 60.00, 60.00 degrees
Each line ends with the local moment (μB).
Fractional coordinates of all 6 atoms:
Al 0.0000 0.0000 0.0000  0.00
Co 0.8765 0.3745 0.3745  0.27
Co 0.3745 0.3745 0.8765  0.27
Co 0.3745 0.8765 0.3745  0.27
Co 0.3745 0.3745 0.3745  0.27
Re 0.7500 0.7500 0.7500  -0.03



[6]
The following is a PBE calculation of a geometry-optimized CaBrCl2 structure, from the Alexandria database.

**Symmetry**: P4mm, No. 99
**Energy relative to the elements, uncorrected**: -1339 meV per atom

Cell lengths 4.5537, 4.5538, 5.3287 Å; angles 90.00, 90.00, 90.00 degrees
Fractional coordinates of all 4 atoms:
Ca 0.5000 0.5000 0.7434
Br 0.0000 0.0000 0.5086
Cl 0.0000 0.0000 0.0057
Cl 0.5000 0.5000 0.2423



[7]
The following is a PBE calculation of a geometry-optimized NaB2H4 structure, from the Alexandria database.

**Symmetry**: I4/m, No. 87
**Total energy**: -0.2524 Ry per atom

Cell lengths 4.3988, 4.3988, 4.3988 Å; angles 101.93, 101.93, 125.91 degrees
Fractional coordinates of all 7 atoms:
Na 0.5000 0.5000 0.0000
B 0.2500 0.7500 0.5000
B 0.7500 0.2500 0.5000
H 0.3404 0.0708 0.4112
H 0.9292 0.3404 0.2696
H 0.0708 0.6596 0.7304
H 0.6596 0.9292 0.5888